VASP calculation (meta-GGA SCAN) on AlCoF2 at its PBEsol-relaxed geometry.

a b c (Å): 5.629 5.669 5.629
angles (deg): 60.23 90.00 119.77
Site moments in Bohr magnetons follow the coordinates.
Positions (direct):
F  0.375  0.750  0.875  0.00
F  0.375  0.750  0.375  0.00
F  0.375  0.250  0.375  0.00
F  0.875  0.250  0.375  0.00
Co  0.750  0.500  0.750  2.04
Co  0.000  0.000  0.000  2.04
Al  0.500  0.000  0.500  -0.01
Al  0.250  0.500  0.250  -0.01

Summary:
Uncorrected formation energy   -1.27 eV per atom
Total magnetization   2.11 μB/f.u.
V   128 Å³ per cell
Energy relative to the lowest polymorph listed for this composition   0.284 eV/atom

=====

VASP calculation (meta-GGA SCAN) on Li2Mg2Pb at its PBEsol-relaxed geometry.

a b c (Å): 3.704 3.704 8.736
angles (deg): 102.24 102.24 90.00
Positions (direct):
Li  0.750  0.250  0.500
Li  0.250  0.750  0.500
Pb  0.000  0.000  0.000
Mg  0.607  0.607  0.214
Mg  0.393  0.393  0.786

Summary:
Total magnetization   0.00 μB/f.u.
Formation enthalpy at 0 K   0.010 eV per atom
V   114 Å³ per cell

=====

VASP calculation (meta-GGA SCAN) on Zn2InCo at its PBEsol-relaxed geometry.

a b c (Å): 2.865 4.421 4.661
angles (deg): 90.00 92.28 90.00
Positions (direct):
Zn  0.728  0.000  0.780
Zn  0.272  0.000  0.220
In  0.000  0.500  0.500
Co  0.500  0.500  0.000

Summary:
Total magnetization   0.00 μB/f.u.
Formation enthalpy at 0 K   0.271 eV per atom
V   59 Å³ per cell

=====

VASP calculation (meta-GGA SCAN) on Ba3Zn2B3O9F at its PBEsol-relaxed geometry.

a b c (Å): 7.097 8.153 17.347
angles (deg): 90.00 90.00 90.00
Positions (direct):
O  0.460  0.167  0.318
O  0.757  0.750  0.250
O  0.154  0.088  0.050
O  0.978  0.663  0.600
O  0.846  0.912  0.950
O  0.022  0.337  0.100
O  0.883  0.682  0.467
O  0.540  0.833  0.682
O  0.257  0.750  0.750
O  0.654  0.412  0.950
O  0.883  0.682  0.033
O  0.040  0.667  0.318
O  0.540  0.833  0.818
O  0.243  0.250  0.750
O  0.960  0.333  0.682
O  0.846  0.912  0.550
O  0.117  0.318  0.533
O  0.383  0.818  0.967
O  0.617  0.182  0.033
O  0.960  0.333  0.818
O  0.117  0.318  0.967
O  0.617  0.182  0.467
O  0.478  0.837  0.400
O  0.743  0.250  0.250
O  0.654  0.412  0.550
O  0.346  0.588  0.050
O  0.478  0.837  0.100
O  0.522  0.163  0.900
O  0.460  0.167  0.182
O  0.346  0.588  0.450
O  0.522  0.163  0.600
O  0.154  0.088  0.450
O  0.022  0.337  0.400
O  0.978  0.663  0.900
O  0.040  0.667  0.182
O  0.383  0.818  0.533
B  0.439  0.806  0.750
B  0.402  0.750  0.461
B  0.561  0.194  0.250
B  0.902  0.750  0.539
B  0.939  0.694  0.250
B  0.902  0.750  0.961
B  0.598  0.250  0.539
B  0.098  0.250  0.461
B  0.098  0.250  0.039
B  0.598  0.250  0.961
B  0.402  0.750  0.039
B  0.061  0.306  0.750
Zn  0.091  0.568  0.082
Zn  0.591  0.932  0.582
Zn  0.409  0.068  0.082
Zn  0.909  0.432  0.918
Zn  0.091  0.568  0.418
Zn  0.591  0.932  0.918
Zn  0.909  0.432  0.582
Zn  0.409  0.068  0.418
F  0.938  0.995  0.750
F  0.062  0.005  0.250
F  0.562  0.495  0.750
F  0.438  0.505  0.250
Ba  0.653  0.459  0.121
Ba  0.153  0.041  0.879
Ba  0.347  0.541  0.879
Ba  0.863  0.685  0.750
Ba  0.637  0.185  0.750
Ba  0.847  0.959  0.379
Ba  0.153  0.041  0.621
Ba  0.847  0.959  0.121
Ba  0.137  0.315  0.250
Ba  0.363  0.815  0.250
Ba  0.347  0.541  0.621
Ba  0.653  0.459  0.379

Summary:
Uncorrected formation energy   -2.76 eV per atom
Total magnetization   0.00 μB/f.u.
V   1004 Å³ per cell

=====

VASP calculation (meta-GGA SCAN) on FeGeF2 at its PBEsol-relaxed geometry.

a b c (Å): 2.812 2.812 7.718
angles (deg): 79.50 79.50 60.00
Site moments in Bohr magnetons follow the coordinates.
Positions (direct):
Ge  0.000  0.000  0.000  0.01
Fe  0.500  0.500  0.500  3.44
F  0.895  0.895  0.316  0.08
F  0.105  0.105  0.684  0.08

Summary:
Uncorrected formation energy   -1.30 eV per atom
Total magnetization   3.60 μB/f.u.
V   52 Å³ per cell
Energy relative to the lowest polymorph listed for this composition   0.000 eV/atom

=====

VASP calculation (meta-GGA SCAN) on CaCuMo2 at its PBEsol-relaxed geometry.

a b c (Å): 2.584 5.304 5.483
angles (deg): 118.93 90.00 90.00
Positions (direct):
Mo  0.000  0.000  0.500
Mo  0.000  0.500  0.500
Cu  0.500  0.500  0.000
Ca  0.500  0.000  0.000

Summary:
Total magnetization   0.00 μB/f.u.
Formation enthalpy at 0 K   0.747 eV per atom
V   66 Å³ per cell
Energy relative to the lowest polymorph listed for this composition   0.182 eV/atom

=====

VASP calculation (meta-GGA SCAN) on ZnAg2Pt at its PBEsol-relaxed geometry.

a b c (Å): 2.905 4.497 5.366
angles (deg): 114.78 105.71 90.00
Positions (direct):
Zn  0.000  0.500  0.000
Pt  0.500  0.000  0.000
Ag  0.263  0.263  0.526
Ag  0.737  0.737  0.474

Summary:
Total magnetization   0.00 μB/f.u.
Formation enthalpy at 0 K   -0.146 eV per atom
V   61 Å³ per cell

=====

VASP calculation (meta-GGA SCAN) on SiAgW at its PBEsol-relaxed geometry.

a b c (Å): 2.776 3.283 5.439
angles (deg): 107.57 104.79 90.00
Positions (direct):
Ag  0.010  0.010  0.019
Si  0.676  0.676  0.352
W  0.315  0.315  0.629

Summary:
Uncorrected formation energy   0.58 eV per atom
Total magnetization   0.00 μB/f.u.
V   46 Å³ per cell

=====

VASP calculation (meta-GGA SCAN) on MnPdC2N at its PBEsol-relaxed geometry.

a b c (Å): 3.700 3.700 5.316
angles (deg): 90.00 90.00 90.00
Site moments in Bohr magnetons follow the coordinates.
Positions (direct):
N  0.500  0.500  0.500  -0.97
C  0.000  0.500  0.000  0.18
C  0.500  0.000  0.000  0.18
Mn  0.000  0.000  0.500  4.47
Pd  0.000  0.000  0.000  0.12

Summary:
Uncorrected formation energy   2.23 eV per atom
Total magnetization   4.09 μB/f.u.
V   73 Å³ per cell

=====

VASP calculation (meta-GGA SCAN) on IrCS2 at its PBEsol-relaxed geometry.

a b c (Å): 4.992 5.698 4.992
angles (deg): 115.98 90.00 115.98
Positions (direct):
S  0.427  0.250  0.375
S  0.823  0.250  0.875
S  0.625  0.750  0.177
S  0.125  0.750  0.573
C  0.750  0.500  0.250
C  0.500  0.000  0.500
Ir  0.250  0.500  0.750
Ir  0.000  0.000  0.000

Summary:
Uncorrected formation energy   1.00 eV per atom
Total magnetization   0.00 μB/f.u.
V   111 Å³ per cell